Entry from Alexandria via LeMat-Bulk: BaTlBi after structural relaxation (PBE).

Unit cell a=8.2406 b=8.2406 c=8.2406 alpha=90.00 beta=90.00 gamma=90.00
Last column: nearest neighbours and their distance in Å.
Atoms (fractional coordinates):
Ba  0.0000  0.0000  0.0000  4 Bi 3.57
Ba  0.0000  0.5000  0.5000  4 Bi 3.57
Ba  0.5000  0.0000  0.5000  4 Bi 3.57
Ba  0.5000  0.5000  0.0000  4 Bi 3.57
Tl  0.0000  0.0000  0.5000  4 Bi 3.57
Tl  0.0000  0.5000  0.0000  4 Bi 3.57
Tl  0.5000  0.0000  0.0000  4 Bi 3.57
Tl  0.5000  0.5000  0.5000  4 Bi 3.57
Bi  0.2500  0.2500  0.2500  4 Tl 3.57, 4 Ba 3.57
Bi  0.2500  0.7500  0.7500  4 Tl 3.57, 4 Ba 3.57
Bi  0.7500  0.2500  0.7500  4 Tl 3.57, 4 Ba 3.57
Bi  0.7500  0.7500  0.2500  4 Tl 3.57, 4 Ba 3.57

Computed properties:
As for the total energy: -3.1878 eV/atom. For the offset from the most stable computed form, the calculation gives 127 meV per atom. The crystal system is cubic. The value obtained for the calculated formation energy is -1.39 eV/f.u. The spin magnetization comes out at 0.000 μB/f.u. The density of states at the Fermi level comes out at 4.83 states/eV/cell.